<one>
Entry from the Alexandria database: crystalline TbPa2N4 at its relaxed geometry (PBE-GGA).

Cell and atoms, written as POSCAR:
```
TbPa2N4
1.0
3.428 0.000 0.000
-1.714 5.764 0.000
0.000 0.000 10.724
Tb Pa N
2 4 8
Cartesian
1.714 1.261 8.043
0.000 4.503 2.681
0.000 1.502 4.587
1.714 4.263 9.949
0.000 1.502 0.775
1.714 4.263 6.137
1.714 3.139 1.155
1.714 3.139 4.207
0.000 2.625 9.569
0.000 2.625 6.517
1.714 5.405 8.043
0.000 0.359 2.681
1.714 0.000 0.000
1.714 0.000 5.362
```

The mass density comes out at 10610 kg/m³. The space-group type is Cmcm. The calculation puts the volume at 15.14 Å³ per atom.

***

<two>
Entry from the Alexandria database: crystalline TbPa2N4 at its relaxed geometry (PBE-GGA).

Cell and atoms, written as POSCAR:
```
TbPa2N4
1.0
6.326 0.071 -0.123
-2.041 5.989 0.123
-2.245 -2.958 5.124
Tb Pa N
2 4 8
Cartesian
0.000 0.000 0.000
3.163 2.308 1.250
4.228 -0.717 2.384
1.064 0.531 3.187
-1.167 3.098 3.990
-0.044 3.293 0.687
-1.779 4.130 2.060
1.249 3.100 2.546
-2.901 1.490 3.952
-0.922 -1.022 4.437
0.126 1.584 5.086
2.242 -1.023 4.354
2.370 -0.003 1.288
-0.793 1.123 2.020
```

The mass density comes out at 11544 kg/m³. The space-group type is I-42d. The calculation puts the volume at 13.91 Å³ per atom.

***

Here is how they stack up, most stable first: <one>, <two>.

***

<one>
Entry from the Alexandria database: crystalline TbPa2N3 at its relaxed geometry (PBE-GGA).

Cell and atoms, written as POSCAR:
```
TbPa2N3
1.0
-1.888 6.402 0.758
1.370 -0.270 5.688
5.406 1.384 1.779
Tb Pa N
2 4 6
Cartesian
2.916 2.158 3.923
1.971 5.358 4.303
1.129 0.186 1.245
0.185 3.387 1.624
5.647 0.928 6.223
4.703 4.129 6.602
3.990 6.185 2.348
1.287 5.494 1.458
0.213 1.466 3.034
4.675 6.050 5.192
3.601 2.023 6.768
0.898 1.331 5.878
```

The mass density comes out at 11032 kg/m³. The space-group type is P6/mmm. The calculation puts the volume at 16.63 Å³ per atom.

***

<two>
Entry from the Alexandria database: crystalline TbPa2N3 at its relaxed geometry (PBE-GGA).

Cell and atoms, written as POSCAR:
```
TbPa2N3
1.0
-1.254 -2.517 2.071
4.322 -2.398 -0.296
0.197 5.058 3.321
Tb Pa N
1 2 3
Cartesian
1.633 0.072 2.548
2.593 -3.246 2.042
0.672 3.390 3.054
0.410 -2.082 2.135
2.855 2.225 2.961
-0.529 1.270 2.696
```

The mass density comes out at 12146 kg/m³. The space-group type is Immm. The calculation puts the volume at 15.11 Å³ per atom.

***

Here is how they stack up, most stable first: <two>, <one>.

***

<one>
Entry from the Alexandria database: crystalline PaTcN at its relaxed geometry (PBE-GGA).

Cell and atoms, written as POSCAR:
```
PaTcN
1.0
-1.980 0.938 -3.343
0.699 -3.662 -1.441
-2.091 0.319 3.717
Pa Tc N
1 1 1
Cartesian
-3.030 -2.274 -1.233
-1.672 -0.638 0.811
-1.223 -1.584 -2.109
```

The mass density comes out at 11110 kg/m³. The space-group type is I4mm. The calculation puts the volume at 17.09 Å³ per atom.

***

<two>
Entry from the Alexandria database: crystalline PaTcN at its relaxed geometry (PBE-GGA).

Cell and atoms, written as POSCAR:
```
PaTcN
1.0
-3.400 -0.925 1.776
-0.531 -3.617 1.483
1.573 0.826 7.824
Pa N Tc
2 2 2
Cartesian
-0.281 -1.129 7.640
-2.076 -2.587 3.444
-1.012 -1.272 1.784
-1.345 -2.444 9.300
0.256 -0.243 4.745
-2.613 -3.473 6.339
```

The mass density comes out at 10984 kg/m³. The space-group type is R-3m. The calculation puts the volume at 17.29 Å³ per atom.

***

Here is how they stack up, most stable first: <two>, <one>.

***

<one>
Entry from the Alexandria database: crystalline PaTeN at its relaxed geometry (PBE-GGA).

Cell and atoms, written as POSCAR:
```
PaTeN
1.0
-2.858 3.728 0.593
-1.971 -1.944 2.728
3.057 2.185 0.996
Pa Te N
1 1 1
Cartesian
-0.476 0.621 0.099
-2.200 1.917 2.546
0.905 1.430 1.672
```

The mass density comes out at 9989 kg/m³. The space-group type is P-6m2. The calculation puts the volume at 20.65 Å³ per atom.

***

<two>
Entry from the Alexandria database: crystalline PaTeN at its relaxed geometry (PBE-GGA).

Cell and atoms, written as POSCAR:
```
PaTeN
1.0
3.251 0.000 0.000
0.000 3.251 0.000
-1.625 -1.625 6.044
Pa Te N
1 1 1
Cartesian
1.625 1.625 2.751
0.000 0.000 0.040
0.000 0.000 3.252
```

The mass density comes out at 9690 kg/m³. The space-group type is I4mm. The calculation puts the volume at 21.29 Å³ per atom.

***

Here is how they stack up, most stable first: <one>, <two>.

***

<one>
Entry from the Alexandria database: crystalline Pa2TeN at its relaxed geometry (PBE-GGA).

Cell and atoms, written as POSCAR:
```
Pa2TeN
1.0
3.640 0.000 0.000
1.820 3.152 0.000
1.820 1.051 7.334
Pa Te N
2 1 1
Cartesian
1.820 1.051 1.348
5.460 3.152 5.987
3.640 2.102 3.667
0.000 0.000 0.000
```

The mass density comes out at 11910 kg/m³. The space-group type is R-3m. The calculation puts the volume at 21.04 Å³ per atom.

***

<two>
Entry from the Alexandria database: crystalline Pa2TeN at its relaxed geometry (PBE-GGA).

Cell and atoms, written as POSCAR:
```
Pa2TeN
1.0
3.336 0.000 0.000
0.000 3.336 0.000
0.000 0.000 7.063
Pa Te N
2 1 1
Cartesian
0.000 0.000 5.624
0.000 0.000 1.440
1.668 1.668 3.532
1.668 1.668 0.000
```

The mass density comes out at 12754 kg/m³. The space-group type is P4/mmm. The calculation puts the volume at 19.65 Å³ per atom.

***

Here is how they stack up, most stable first: <one>, <two>.

***

<one>
Entry from the Alexandria database: crystalline Pa2Te2N at its relaxed geometry (PBE-GGA).

Cell and atoms, written as POSCAR:
```
Pa2Te2N
1.0
-2.853 -0.660 -5.446
4.343 -4.960 1.837
-7.690 1.034 3.902
Pa Te N
4 4 2
Cartesian
-3.482 -1.249 1.975
-2.718 -3.337 -1.682
1.484 -4.455 -0.238
-7.684 -0.131 0.530
-5.020 -1.599 -0.687
-1.180 -2.987 0.980
-6.097 -0.066 3.201
-0.102 -4.520 -2.909
-4.289 -3.113 2.623
-1.911 -1.472 -2.331
```

The mass density comes out at 9185 kg/m³. The space-group type is C2/m. The calculation puts the volume at 26.44 Å³ per atom.

***

<two>
Entry from the Alexandria database: crystalline Pa2Te2N at its relaxed geometry (PBE-GGA).

Cell and atoms, written as POSCAR:
```
Pa2Te2N
1.0
-2.562 -5.343 -1.011
-5.171 -1.957 5.578
-7.842 0.323 0.296
Pa Te N
4 4 2
Cartesian
-5.023 -1.598 3.308
-10.552 -5.378 1.556
-8.248 -3.579 4.083
-7.327 -3.397 0.780
-10.257 -2.194 1.852
-5.318 -4.782 3.011
-5.710 -0.682 0.206
-9.864 -6.294 4.657
-7.147 -2.152 2.684
-8.428 -4.824 2.179
```

The mass density comes out at 9760 kg/m³. The space-group type is Ibam. The calculation puts the volume at 24.88 Å³ per atom.

***

Here is how they stack up, most stable first: <two>, <one>.

***

<one>
Entry from the Alexandria database: crystalline ThPa2N4 at its relaxed geometry (PBE-GGA).

Cell and atoms, written as POSCAR:
```
ThPa2N4
1.0
3.450 0.000 -0.901
-0.624 5.500 -2.390
-0.155 -0.320 6.465
Th Pa N
1 2 4
Cartesian
0.000 0.000 0.000
0.749 1.449 2.868
1.923 3.732 0.307
0.193 2.314 0.737
2.479 2.866 2.437
0.474 5.175 1.814
2.198 0.005 1.361
```

The mass density comes out at 10459 kg/m³. The space-group type is C2/m. The calculation puts the volume at 17.01 Å³ per atom.

***

<two>
Entry from the Alexandria database: crystalline ThPa2N4 at its relaxed geometry (PBE-GGA).

Cell and atoms, written as POSCAR:
```
ThPa2N4
1.0
3.469 0.000 0.000
-1.734 5.809 0.000
0.000 0.000 10.845
Th Pa N
2 4 8
Cartesian
1.734 1.338 8.134
0.000 4.472 2.711
0.000 1.513 4.649
1.734 4.297 10.072
0.000 1.513 0.773
1.734 4.297 6.196
1.734 3.217 1.176
1.734 3.217 4.247
0.000 2.592 9.669
0.000 2.592 6.599
1.734 5.450 8.134
0.000 0.359 2.711
1.734 0.000 0.000
1.734 0.000 5.423
```

The mass density comes out at 11399 kg/m³. The space-group type is Cmcm. The calculation puts the volume at 15.61 Å³ per atom.

***

Here is how they stack up, most stable first: <two>, <one>.

***

<one>
Entry from the Alexandria database: crystalline Th2Pa2N7 at its relaxed geometry (PBE-GGA).

Cell and atoms, written as POSCAR:
```
Th2Pa2N7
1.0
6.801 0.000 3.926
2.267 6.412 3.926
0.000 0.000 7.853
Th Pa N
4 4 14
Cartesian
5.667 4.007 9.816
5.667 4.007 5.890
4.534 0.801 7.853
2.267 4.007 7.853
4.534 0.801 3.926
2.267 4.007 3.926
1.133 0.801 5.890
1.133 0.801 1.963
1.978 1.399 7.853
3.256 5.013 5.639
3.256 0.204 5.639
4.245 3.002 3.926
6.801 4.809 11.779
5.812 1.399 5.639
3.256 0.204 2.213
1.278 3.002 5.639
0.289 0.204 3.926
1.278 3.002 2.213
3.256 5.013 10.066
4.534 3.206 7.853
5.812 1.399 10.066
7.090 5.013 7.853
```

The mass density comes out at 9934 kg/m³. The space-group type is Fd-3m. The calculation puts the volume at 15.56 Å³ per atom.

***

<two>
Entry from the Alexandria database: crystalline Th2Pa2N7 at its relaxed geometry (PBE-GGA).

Cell and atoms, written as POSCAR:
```
Th2Pa2N7
1.0
5.593 -0.003 0.009
0.003 5.515 0.002
-0.339 -0.002 5.583
Th Pa N
2 2 7
Cartesian
3.881 2.754 4.130
1.375 2.756 1.464
3.999 -0.003 1.506
1.257 5.513 4.087
5.424 1.359 2.801
2.459 4.149 5.589
-0.168 4.151 2.793
2.797 1.362 0.005
0.000 0.000 0.000
2.629 4.178 2.797
2.627 1.333 2.796
```

The mass density comes out at 9876 kg/m³. The space-group type is Cmmm. The calculation puts the volume at 15.66 Å³ per atom.

***

Here is how they stack up, most stable first: <one>, <two>.

***

<one>
Entry from the Alexandria database: crystalline Th2PaN4 at its relaxed geometry (PBE-GGA).

Cell and atoms, written as POSCAR:
```
Th2PaN4
1.0
3.603 0.000 0.000
0.000 6.093 0.000
0.000 0.000 10.416
Th Pa N
4 2 8
Cartesian
1.801 5.773 3.413
1.801 3.367 8.621
1.801 2.726 1.795
1.801 0.321 7.003
0.000 3.047 5.208
0.000 0.000 0.000
0.000 5.173 8.337
0.000 2.126 7.288
1.801 4.621 0.372
1.801 1.575 4.836
1.801 4.518 5.580
1.801 1.472 10.045
0.000 3.967 3.129
0.000 0.921 2.080
```

The mass density comes out at 10910 kg/m³. The space-group type is Pbam. The calculation puts the volume at 16.33 Å³ per atom.

***

<two>
Entry from the Alexandria database: crystalline Th2PaN4 at its relaxed geometry (PBE-GGA).

Cell and atoms, written as POSCAR:
```
Th2PaN4
1.0
-5.601 2.048 2.630
1.124 -6.252 1.460
4.676 3.845 2.415
Th Pa N
4 2 8
Cartesian
-2.357 2.906 3.735
0.594 1.130 3.326
2.324 -1.792 4.032
-0.164 -2.962 1.918
0.000 0.000 0.000
-2.470 -0.629 3.306
2.092 -3.765 2.423
-0.399 -1.417 3.941
-1.320 0.948 5.365
3.023 2.405 3.128
-2.722 -3.413 2.822
0.236 3.356 4.531
-1.533 1.108 2.115
1.417 -0.659 1.695
```

The mass density comes out at 11728 kg/m³. The space-group type is I-42d. The calculation puts the volume at 15.19 Å³ per atom.

***

Here is how they stack up, most stable first: <one>, <two>.

***

<one>
Entry from the Alexandria database: crystalline Th2PaN3 at its relaxed geometry (PBE-GGA).

Cell and atoms, written as POSCAR:
```
Th2PaN3
1.0
-5.275 2.427 2.271
2.451 -2.270 5.270
2.448 5.107 -2.618
Th Pa N
4 2 6
Cartesian
1.132 -1.045 5.177
1.130 3.885 -0.096
-1.508 6.309 -0.254
-1.506 1.379 5.018
1.131 1.404 2.558
-1.507 3.860 2.365
1.302 1.354 0.136
-1.335 1.440 2.477
1.225 -1.135 2.635
-1.679 3.910 4.787
-1.413 3.767 -0.174
0.959 3.824 2.446
```

The mass density comes out at 12330 kg/m³. The space-group type is C2/c. The calculation puts the volume at 16.55 Å³ per atom.

***

<two>
Entry from the Alexandria database: crystalline Th2PaN3 at its relaxed geometry (PBE-GGA).

Cell and atoms, written as POSCAR:
```
Th2PaN3
1.0
-5.964 0.525 -1.783
-2.998 -5.345 1.162
-4.295 2.070 4.033
Th Pa N
4 2 6
Cartesian
0.000 0.000 0.000
-4.481 -2.410 -0.310
-7.898 -1.549 0.429
-5.359 -1.201 2.983
-3.421 0.866 0.753
-6.838 1.729 1.497
-5.618 -0.223 0.638
-6.659 -3.756 -0.397
-7.639 -2.527 2.774
-4.253 -3.346 2.149
-9.005 0.596 1.263
-2.303 -1.064 -0.223
```

The mass density comes out at 12324 kg/m³. The space-group type is C2/m. The calculation puts the volume at 16.55 Å³ per atom.

***

Here is how they stack up, most stable first: <two>, <one>.

***

<one>
Entry from the Alexandria database: crystalline Tm3PaN4 at its relaxed geometry (PBE-GGA).

Cell and atoms, written as POSCAR:
```
Tm3PaN4
1.0
-1.603 -1.230 -2.784
-3.671 -3.083 3.476
-2.324 5.349 -1.024
Tm Pa N
3 1 4
Cartesian
-1.162 2.675 -0.512
-3.799 0.518 -0.166
-1.836 -1.541 1.738
-0.802 -0.615 -1.392
-1.489 0.563 0.609
-4.144 -1.640 0.986
-4.507 1.703 1.843
-3.454 2.677 -1.318
```

The mass density comes out at 11571 kg/m³. The space-group type is Cmmm. The calculation puts the volume at 14.24 Å³ per atom.

***

<two>
Entry from the Alexandria database: crystalline Tm3PaN4 at its relaxed geometry (PBE-GGA).

Cell and atoms, written as POSCAR:
```
Tm3PaN4
1.0
4.432 0.000 -1.967
-0.873 4.345 -1.967
-0.022 -0.027 5.927
Tm Pa N
3 1 4
Cartesian
1.780 2.173 -1.967
3.095 1.073 0.996
0.442 3.246 0.996
0.000 0.000 0.000
2.689 3.283 0.082
0.848 1.035 1.910
2.216 0.000 -0.984
-0.437 2.173 -0.984
```

The mass density comes out at 11596 kg/m³. The space-group type is I4/mmm. The calculation puts the volume at 14.21 Å³ per atom.

***

Here is how they stack up, most stable first: <two>, <one>.